1.
Here is crystalline Ac2Sb4Rh3 at its relaxed geometry from the Alexandria database. Energies are from PBE.

Properties
The formation energy without anion corrections comes out at -6.30 eV per formula unit. Its crystal system is orthorhombic.

abc: 5.990 10.829 13.500
angles: 90.00 90.00 90.00
Space group Fmmm (No. 69)
Symmetry-distinct sites (fractional):
Ac  0.000  0.000  0.133
Sb  0.000  0.161  0.350
Rh  0.000  0.000  0.500
Rh  0.250  0.250  0.000



2.
Here is crystalline Pr2YEr at its relaxed geometry from the Alexandria database. Energies are from PBE.

Properties
The calculation puts the energy of formation at 0.02 eV per atom. Its crystal system is orthorhombic. The energy relative to the lowest polymorph listed for this composition is 0.004 eV per atom.

abc: 3.650 5.052 7.301
angles: 90.00 90.00 90.00
Space group Pmmm (No. 47)
Symmetry-distinct sites (fractional):
Pr  0.000  0.000  0.247
Y  0.500  0.500  0.500
Er  0.500  0.500  0.000



3.
Here is crystalline TlPb3Au at its relaxed geometry from the Alexandria database. Energies are from PBE.

Properties
The calculation puts the energy of formation at -0.01 eV per atom. Its crystal system is monoclinic. The energy relative to the lowest polymorph listed for this composition is 0.015 eV per atom.

abc: 8.517 4.386 8.700
angles: 90.00 113.12 90.00
Space group P2_1/m (No. 11)
Symmetry-distinct sites (fractional):
Tl  0.212  0.250  0.127
Pb  0.136  0.750  0.794
Pb  0.318  0.750  0.471
Pb  0.469  0.250  0.831
Au  0.124  0.250  0.552



4.
Here is crystalline Sm8CoRu3Br4 at its relaxed geometry from the Alexandria database. Energies are from PBE.

Properties
The formation energy without anion corrections comes out at -12.04 eV per formula unit. Its crystal system is monoclinic.

abc: 13.883 8.026 9.073
angles: 90.00 120.69 90.00
Space group C2/m (No. 12)
Symmetry-distinct sites (fractional):
Sm  0.017  0.248  0.305
Sm  0.230  0.000  0.695
Sm  0.233  0.500  0.698
Co  0.000  0.000  0.500
Ru  0.000  0.500  0.500
Ru  0.250  0.250  0.500
Br  0.000  0.000  0.000
Br  0.000  0.500  0.000
Br  0.250  0.250  0.000



5.
Here is crystalline MoIrOsRu2 at its relaxed geometry from the Alexandria database. Energies are from PBE.

Properties
The calculation puts the energy of formation at 2.12 eV per atom. Its crystal system is tetragonal.

abc: 4.552 4.552 4.654
angles: 90.00 90.00 90.00
Space group P4/mmm (No. 123)
Symmetry-distinct sites (fractional):
Mo  0.000  0.000  0.000
Ir  0.500  0.500  0.500
Os  0.000  0.000  0.500
Ru  0.000  0.500  0.000



6.
Here is crystalline KSr2Cu at its relaxed geometry from the Alexandria database. Energies are from PBE.

Properties
The calculation puts the energy of formation at 0.22 eV per atom. Its crystal system is tetragonal. The energy relative to the lowest polymorph listed for this composition is 0.192 eV per atom.

abc: 9.977 9.977 7.613
angles: 90.00 90.00 90.00
Space group I-42d (No. 122)
Symmetry-distinct sites (fractional):
K  0.000  0.000  0.000
Sr  0.146  0.250  0.625
Cu  0.000  0.000  0.500



7.
Here is crystalline KTbAgS2 at its relaxed geometry from the Alexandria database. Energies are from PBE.

Properties
The formation energy without anion corrections comes out at -5.49 eV per formula unit. Its crystal system is monoclinic.

abc: 7.390 5.048 7.739
angles: 90.00 99.43 90.00
Space group P2/c (No. 13)
Symmetry-distinct sites (fractional):
K  0.000  0.141  0.250
Tb  0.500  0.493  0.750
Ag  0.500  0.000  0.000
S  0.257  0.369  0.964



8.
Here is crystalline Mg4Ag5Hg at its relaxed geometry from the Alexandria database. Energies are from PBE.

Properties
The calculation puts the energy of formation at -0.18 eV per atom. Its crystal system is tetragonal.

abc: 3.406 3.406 16.225
angles: 90.00 90.00 90.00
Space group P4/mmm (No. 123)
Symmetry-distinct sites (fractional):
Mg  0.000  0.000  0.099
Mg  0.000  0.000  0.297
Ag  0.500  0.500  0.000
Ag  0.500  0.500  0.198
Ag  0.500  0.500  0.392
Hg  0.000  0.000  0.500



no.,magnetization (μB/cell),N(E_F) (states/eV per atom)
1,0.00,0.675
2,0.00,1.484
3,0.00,0.340
4,0.00,0.460
5,2.49,1.162
6,0.00,0.528
7,0.00,0.261
8,0.00,0.351